La2PrHg4 (PBE, relaxed); space-group type = R-3m; theoretical density = 9.1 g/cm³; energy of formation from the pure elements = -2.519 eV/f.u.; final energy = -2.623 eV per atom
1.0
2.655 1.533 9.141
-2.655 1.533 9.141
0.000 -3.065 9.141
La Pr Hg
2 1 4
Direct
0.243 0.243 0.243
0.757 0.757 0.757
0.000 0.000 0.000
0.126 0.126 0.126
0.374 0.374 0.374
0.626 0.626 0.626
0.874 0.874 0.874